# ZnCu14Ge

ZnCu14Ge after structural relaxation (GGA-PBE, Alexandria via LeMat-Bulk).

Values from the calculation:
Crystal system: orthorhombic
Total energy, eV/atom: -3.9444
Space group: Amm2 (38)

extended XYZ file:
```
16
Lattice="5.105 -0.134 0.000 -2.124 4.644 0.000 0.000 0.000 8.411" Properties=species:S:1:pos:R:3 pbc="T T T"
Cu 1.641 0.526 2.067
Cu 1.641 0.526 6.344
Cu 0.576 2.860 2.075
Cu -0.659 2.050 4.205
Zn -1.715 4.374 4.205
Cu 2.899 1.325 0.000
Cu 0.837 4.314 4.205
Cu -0.708 3.709 0.000
Cu 4.193 0.469 2.065
Cu 3.141 2.795 2.067
Cu 4.193 0.469 6.346
Cu 3.141 2.795 6.344
Cu 1.839 3.643 0.000
Cu 0.576 2.860 6.335
Cu 0.350 1.391 0.000
Ge 1.908 1.979 4.205
```